Entry from the Alexandria database: a geometry-optimized AcTb2Pd structure (PBE).

Lattice parameters (Å, degrees): 7.344 10.058 6.670 90.00 90.00 90.00
Fractional positions:
Ac  0.023  0.250  0.142
Ac  0.477  0.750  0.642
Ac  0.523  0.250  0.358
Ac  0.977  0.750  0.858
Tb  0.177  0.064  0.668
Tb  0.177  0.436  0.668
Tb  0.323  0.564  0.168
Tb  0.323  0.936  0.168
Tb  0.677  0.064  0.832
Tb  0.677  0.436  0.832
Tb  0.823  0.564  0.332
Tb  0.823  0.936  0.332
Pd  0.113  0.750  0.408
Pd  0.387  0.250  0.908
Pd  0.613  0.750  0.092
Pd  0.887  0.250  0.592

- Spin magnetization: 0.00 μB per formula unit
- Final energy: -5.0697 eV per atom
- Symmetry: Pnma, No. 62
- Energy relative to the lowest polymorph listed for this composition: 0.00 eV per formula unit
- DFT formation energy: -41.4 kJ per mole of atoms
- N(E_F): 17.17 states/eV/cell